Record 1
Density functional theory data (PBE) for a relaxed LiScTi crystal.

Lattice parameters (Å, degrees): 3.028 5.108 8.460 77.07 79.72 72.79
Element x y z (fractional)
1 Li 0.179 0.228 0.412
2 Li 0.821 0.772 0.588
3 Sc 0.487 0.268 0.756
4 Sc 0.513 0.732 0.244
5 Ti 0.155 0.746 0.944
6 Ti 0.845 0.254 0.056

Computed properties:
For the density of states at the Fermi level, the calculation gives 0.193 states/eV per atom. Its crystal system is triclinic. Its space-group type is P-1, No. 2.



Record 2
Density functional theory data (PBE) for a relaxed LiScTi crystal.

Lattice parameters (Å, degrees): 3.467 3.467 10.322 90.00 90.00 90.00
Element x y z (fractional)
1 Li 0.250 0.250 0.076
2 Li 0.750 0.750 0.924
3 Sc 0.250 0.250 0.728
4 Sc 0.750 0.750 0.272
5 Ti 0.250 0.250 0.445
6 Ti 0.750 0.750 0.555

Computed properties:
For the density of states at the Fermi level, the calculation gives 1.393 states/eV per atom. Its crystal system is tetragonal. Its space-group type is P4/nmm, No. 129.



For reference, E above lowest polymorph by record: 46, 0 meV/atom.